NdDy2TlC | PBE-GGA | relaxed

The structure in POSCAR format:
```
NdDy2TlC
1.0
4.938 0.000 0.000
0.000 4.938 0.000
0.000 0.000 5.126
Nd Dy Tl C
1 2 1 1
direct
0.000 0.000 0.000
0.000 0.500 0.500
0.500 0.000 0.500
0.500 0.500 0.000
0.000 0.000 0.500
```

Space group: P4/mmm, No. 123
DOS at the Fermi energy (states/eV/atom): 0.398
Energy of formation from the pure elements (eV per atom): -0.38
Spin magnetization (μB per cell): 0.00
Final energy (eV per atom): -5.50

=====

DyNi7C2 | PBE-GGA | relaxed

The structure in POSCAR format:
```
DyNi7C2
1.0
3.071 -5.129 0.000
3.071 5.129 0.000
0.000 0.000 3.850
Dy Ni C
1 7 2
direct
0.000 0.000 0.000
0.052 0.340 0.500
0.282 0.718 0.000
0.340 0.052 0.500
0.500 0.500 0.500
0.660 0.948 0.500
0.718 0.282 0.000
0.948 0.660 0.500
0.309 0.691 0.500
0.691 0.309 0.500
```

Space group: Cmmm, No. 65
DOS at the Fermi energy (states/eV/atom): 0.914
Energy of formation from the pure elements (eV per atom): 0.08
Spin magnetization (μB per cell): 0.00
Final energy (eV per atom): -6.27

=====

Dy2Ni6C | PBE-GGA | relaxed

The structure in POSCAR format:
```
Dy2Ni6C
1.0
5.514 0.000 0.000
-2.757 4.775 0.000
0.000 0.000 4.627
Dy Ni C
2 6 1
direct
0.333 0.667 0.234
0.667 0.333 0.766
0.156 0.312 0.738
0.156 0.844 0.738
0.312 0.156 0.262
0.688 0.844 0.738
0.844 0.156 0.262
0.844 0.688 0.262
0.000 0.000 0.000
```

Space group: P-3m1, No. 164
DOS at the Fermi energy (states/eV/atom): 0.671
Energy of formation from the pure elements (eV per atom): -0.25
Spin magnetization (μB per cell): 0.00
Final energy (eV per atom): -6.15

=====

Dy2NiC4 | PBE-GGA | relaxed

The structure in POSCAR format:
```
Dy2NiC4
1.0
-3.718 4.848 2.533
3.718 -4.848 2.533
3.718 4.848 -2.533
Dy Ni C
4 2 8
direct
0.143 0.165 0.309
0.357 0.665 0.022
0.643 0.335 0.978
0.857 0.835 0.691
0.250 0.750 0.500
0.750 0.250 0.500
0.085 0.673 0.758
0.126 0.846 0.972
0.374 0.346 0.719
0.415 0.173 0.589
0.585 0.827 0.411
0.626 0.654 0.281
0.874 0.154 0.028
0.915 0.327 0.242
```

Space group: Ibam, No. 72
DOS at the Fermi energy (states/eV/atom): 0.242
Energy of formation from the pure elements (eV per atom): -0.26
Spin magnetization (μB per cell): 0.00
Final energy (eV per atom): -7.67